[1]
Dy3Y6Er2 | Alexandria via LeMat-Bulk | PBE | optimized geometry; raw total energy = -5.586 eV/atom; total magnetization = 0.00 μB/f.u.; energy above the lowest structure with this stoichiometry = 0 meV per atom; E_form = 0.02 eV per atom
1.0
3.5472 0.0000 0.2176
1.7669 3.0758 0.2176
-0.1764 -0.1021 31.8952
Dy Y Er
3 6 2
Direct
0.7274 0.7274 0.8178 Dy
0.2726 0.2726 0.1822 Dy
0.0000 0.0000 0.0000 Dy
0.8180 0.8180 0.5459 Y
0.0911 0.0911 0.7268 Y
0.6363 0.6363 0.0911 Y
0.1820 0.1820 0.4541 Y
0.3637 0.3637 0.9089 Y
0.9089 0.9089 0.2732 Y
0.5455 0.5455 0.3636 Er
0.4545 0.4545 0.6364 Er

***

[2]
Dy2Y3Er6 | Alexandria via LeMat-Bulk | PBE | optimized geometry; raw total energy = -4.954 eV/atom; total magnetization = 0.00 μB/f.u.; energy above the lowest structure with this stoichiometry = 0 meV per atom; E_form = 0.13 eV per atom
1.0
5.5901 0.0000 0.3429
2.7845 4.8472 0.3429
2.0085 1.1625 12.9923
Y Er Dy
3 6 2
Direct
0.0846 0.0846 0.7462 Y
0.0000 0.0000 0.0000 Y
0.9154 0.9154 0.2538 Y
0.8265 0.8265 0.5205 Er
0.7331 0.7331 0.8006 Er
0.3617 0.3617 0.9150 Er
0.6383 0.6383 0.0850 Er
0.2669 0.2669 0.1994 Er
0.1735 0.1735 0.4795 Er
0.4549 0.4549 0.6354 Dy
0.5451 0.5451 0.3646 Dy

***

[3]
DyY4Er3 | Alexandria via LeMat-Bulk | PBE | optimized geometry; raw total energy = -5.302 eV/atom; total magnetization = 0.00 μB/f.u.; energy above the lowest structure with this stoichiometry = 216 meV per atom; E_form = 0.22 eV per atom
1.0
-4.9527 0.2134 -2.5829
-0.7141 -3.3067 1.0961
-2.9926 4.6754 12.1730
Er Dy Y
3 1 4
Direct
0.1558 0.9998 0.3116 Er
0.8442 0.0002 0.6884 Er
0.0000 0.5000 0.0000 Er
0.5000 0.0000 0.0000 Dy
0.2772 0.4991 0.5545 Y
0.3968 0.5009 0.7936 Y
0.7228 0.5009 0.4455 Y
0.6032 0.4991 0.2064 Y

***

[4]
Dy4Y6Er | Alexandria via LeMat-Bulk | PBE | optimized geometry; raw total energy = -5.183 eV/atom; total magnetization = 0.00 μB/f.u.; energy above the lowest structure with this stoichiometry = 306 meV per atom; E_form = 0.43 eV per atom
1.0
7.5105 0.0000 0.0000
0.0000 7.5105 0.0000
-3.7553 -3.7553 6.6628
Y Dy Er
6 4 1
Direct
0.9197 0.4527 0.3724 Y
0.0803 0.0803 0.6276 Y
0.4527 0.9197 0.3724 Y
0.0000 0.5000 0.0000 Y
0.5000 0.0000 0.0000 Y
0.5473 0.5473 0.6276 Y
0.9120 0.9120 0.1561 Dy
0.0880 0.7559 0.8439 Dy
0.2441 0.2441 0.1561 Dy
0.7559 0.0880 0.8439 Dy
0.5000 0.5000 0.0000 Er

***

[5]
Dy5Y2Er2 | Alexandria via LeMat-Bulk | PBE | optimized geometry; raw total energy = -4.783 eV/atom; total magnetization = 0.00 μB/f.u.; energy above the lowest structure with this stoichiometry = 106 meV per atom; E_form = 0.22 eV per atom
1.0
11.6758 0.0000 0.0000
0.0000 6.6894 0.0000
-5.8379 -3.3447 7.4133
Er Dy Y
4 10 4
Direct
0.0000 0.0156 0.0000 Er
0.2627 0.3590 0.5000 Er
0.5000 0.5156 0.0000 Er
0.7373 0.8590 0.5000 Er
0.5933 0.2451 0.7137 Dy
0.1954 0.1583 0.8970 Dy
0.2016 0.6583 0.8970 Dy
0.8046 0.2613 0.1030 Dy
0.6204 0.7451 0.7137 Dy
0.3796 0.0314 0.2863 Dy
0.4067 0.5314 0.2863 Dy
0.9962 0.6515 0.5000 Dy
0.7984 0.7613 0.1030 Dy
0.0038 0.1515 0.5000 Dy
0.8764 0.4302 0.7466 Y
0.1235 0.6836 0.2534 Y
0.6299 0.1836 0.2534 Y
0.3701 0.9302 0.7466 Y

***

[6]
DyY2Er8 | Alexandria via LeMat-Bulk | PBE | optimized geometry; raw total energy = -4.712 eV/atom; total magnetization = 0.00 μB/f.u.; energy above the lowest structure with this stoichiometry = 41 meV per atom; E_form = 0.20 eV per atom
1.0
-3.1423 -5.5439 1.3210
6.0107 -6.8296 -0.5086
5.1287 -4.8319 5.7775
Er Y Dy
8 2 1
Direct
0.2454 0.4439 0.4439 Er
0.6838 0.1353 0.6602 Er
0.6656 0.2109 0.2109 Er
0.7546 0.5561 0.5561 Er
0.3162 0.8647 0.3398 Er
0.3162 0.3398 0.8647 Er
0.3344 0.7891 0.7891 Er
0.6838 0.6602 0.1353 Er
0.1021 0.2844 0.2844 Y
0.8979 0.7156 0.7156 Y
0.0000 0.0000 0.0000 Dy

***

[7]
Dy4Y8Er | Alexandria via LeMat-Bulk | PBE | optimized geometry; raw total energy = -5.526 eV/atom; total magnetization = 0.00 μB/f.u.; E_form = 0.22 eV per atom
1.0
-7.2734 -0.0097 -0.2238
3.5498 -5.5044 3.1705
3.4127 6.3041 7.1239
Y Dy Er
8 4 1
Direct
0.5708 0.7854 0.3562 Y
0.0491 0.2503 0.2994 Y
0.4993 0.7497 0.7006 Y
0.5007 0.2503 0.2994 Y
0.9509 0.7497 0.7006 Y
0.0491 0.7987 0.2994 Y
0.9509 0.2013 0.7006 Y
0.4292 0.2146 0.6438 Y
0.0000 0.5000 0.0000 Dy
0.0000 0.0000 0.0000 Dy
0.5000 0.5000 0.0000 Dy
0.5000 0.0000 0.0000 Dy
0.0000 0.5000 0.5000 Er

***

[8]
Dy5Y4Er3 | Alexandria via LeMat-Bulk | PBE | optimized geometry; raw total energy = -5.191 eV/atom; total magnetization = 0.00 μB/f.u.; energy above the lowest structure with this stoichiometry = 0 meV per atom; E_form = 0.02 eV per atom
1.0
6.8480 -0.4361 1.7837
-5.1537 7.4808 -6.5423
4.0947 -3.9347 11.4373
Y Er Dy
4 3 5
Direct
0.8325 0.6657 0.8330 Y
0.1675 0.3343 0.1670 Y
0.9154 0.8326 0.6658 Y
0.0846 0.1674 0.3342 Y
0.4182 0.8347 0.6673 Er
0.5818 0.1653 0.3327 Er
0.0000 0.0000 0.5000 Er
0.3337 0.6668 0.8336 Dy
0.5000 0.0000 0.5000 Dy
0.7503 0.4980 0.9985 Dy
0.2497 0.5020 0.0015 Dy
0.6663 0.3332 0.1664 Dy